Th3Ge6Pd2Au | PBE | optimized geometry

a b c (Å): 6.056 6.056 8.214
angles (deg): 90.00 90.00 120.00
Fractional positions:
Th: 0.333 0.667 0.627
Th: 0.667 0.333 0.373
Th: 0.000 0.000 0.000
Pd: 0.333 0.667 0.000
Pd: 0.667 0.333 0.000
Ge: 0.378 0.189 0.725
Ge: 0.189 0.378 0.275
Ge: 0.811 0.189 0.725
Ge: 0.189 0.811 0.275
Ge: 0.811 0.622 0.725
Ge: 0.622 0.811 0.275
Au: 0.000 0.000 0.500

Summary:
DFT formation energy, meV/atom: -386
E, eV for the cell shown: -68.260
Total magnetic moment, μB per formula unit: 0.0


Zn2In2P | PBE | optimized geometry

a b c (Å): 6.482 6.482 5.064
angles (deg): 90.00 90.00 90.00
Fractional positions:
P: 0.500 0.500 0.000
P: 0.000 0.000 0.000
In: 0.174 0.674 0.500
In: 0.826 0.326 0.500
In: 0.326 0.174 0.500
In: 0.674 0.826 0.500
Zn: 0.363 0.863 0.000
Zn: 0.137 0.363 0.000
Zn: 0.637 0.137 0.000
Zn: 0.863 0.637 0.000

Summary:
DFT formation energy, meV/atom: 134
E, eV for the cell shown: -25.533
Total magnetic moment, μB per formula unit: 0.0


ScBeHg2 | PBE | optimized geometry

a b c (Å): 4.129 3.243 5.928
angles (deg): 76.40 90.00 90.00
Fractional positions:
Be: 0.500 0.750 0.750
Sc: 0.500 0.250 0.250
Hg: 0.000 0.864 0.980
Hg: 0.000 0.636 0.520

Summary:
DFT formation energy, meV/atom: 41
E, eV for the cell shown: -10.497
Total magnetic moment, μB per formula unit: 0.1


AcHfUO6 | PBE | optimized geometry

a b c (Å): 5.698 5.698 10.477
angles (deg): 90.00 90.00 120.00
Fractional positions:
O: 0.369 0.008 0.643
O: 0.361 0.369 0.357
O: 0.008 0.369 0.143
O: 0.361 0.992 0.143
O: 0.992 0.361 0.643
O: 0.631 0.639 0.143
O: 0.008 0.639 0.357
O: 0.639 0.631 0.643
O: 0.639 0.008 0.857
O: 0.992 0.631 0.857
O: 0.369 0.361 0.857
O: 0.631 0.992 0.357
U: 0.667 0.333 0.250
U: 0.333 0.667 0.750
Ac: 0.000 0.000 0.500
Ac: 0.000 0.000 0.000
Hf: 0.333 0.667 0.250
Hf: 0.667 0.333 0.750

Summary:
E_form (uncorrected), meV per atom: -3433
E, eV for the cell shown: -172.000
Total magnetic moment, μB per formula unit: 1.0